1.
VASP calculation (PBE) on Mg2CdP after structural relaxation.

CIF file:
```
data_Mg2CdP
_chemical_formula_sum 'Mg2 Cd1 P1'
_symmetry_space_group_name_H-M 'P 1'
_symmetry_Int_Tables_number 1
_cell_length_a 4.488
_cell_length_b 4.490
_cell_length_c 3.862
_cell_angle_alpha 90.00
_cell_angle_beta 90.00
_cell_angle_gamma 90.00
loop_
_symmetry_equiv_pos_as_xyz
'x,y,z'
loop_
_atom_site_label
_atom_site_fract_x
_atom_site_fract_y
_atom_site_fract_z
Mg1 0.000 0.000 0.000
Mg2 0.500 0.500 0.000
P1 0.500 0.000 0.500
Cd1 0.000 0.500 0.500
```

---

2.
VASP calculation (PBE) on Mg2CdP after structural relaxation.

CIF file:
```
data_Mg2CdP
_chemical_formula_sum 'Mg2 Cd1 P1'
_symmetry_space_group_name_H-M 'P 1'
_symmetry_Int_Tables_number 1
_cell_length_a 6.928
_cell_length_b 6.928
_cell_length_c 3.979
_cell_angle_alpha 73.30
_cell_angle_beta 73.30
_cell_angle_gamma 28.00
loop_
_symmetry_equiv_pos_as_xyz
'x,y,z'
loop_
_atom_site_label
_atom_site_fract_x
_atom_site_fract_y
_atom_site_fract_z
Cd1 0.197 0.197 0.303
Mg1 0.813 0.813 0.687
P1 0.476 0.476 0.525
Mg2 0.015 0.015 0.985
```

---

3.
VASP calculation (PBE) on Mg4CdP after structural relaxation.

CIF file:
```
data_Mg4CdP
_chemical_formula_sum 'Mg4 Cd1 P1'
_symmetry_space_group_name_H-M 'P 1'
_symmetry_Int_Tables_number 1
_cell_length_a 5.710
_cell_length_b 5.710
_cell_length_c 5.710
_cell_angle_alpha 60.00
_cell_angle_beta 60.00
_cell_angle_gamma 60.00
loop_
_symmetry_equiv_pos_as_xyz
'x,y,z'
loop_
_atom_site_label
_atom_site_fract_x
_atom_site_fract_y
_atom_site_fract_z
P1 0.750 0.750 0.750
Mg1 0.376 0.376 0.376
Mg2 0.376 0.376 0.873
Mg3 0.873 0.376 0.376
Cd1 0.000 0.000 0.000
Mg4 0.376 0.873 0.376
```

---

4.
VASP calculation (PBE) on Mg2CdP after structural relaxation.

CIF file:
```
data_Mg2CdP
_chemical_formula_sum 'Mg2 Cd1 P1'
_symmetry_space_group_name_H-M 'P 1'
_symmetry_Int_Tables_number 1
_cell_length_a 3.961
_cell_length_b 3.961
_cell_length_c 7.051
_cell_angle_alpha 74.21
_cell_angle_beta 74.21
_cell_angle_gamma 59.74
loop_
_symmetry_equiv_pos_as_xyz
'x,y,z'
loop_
_atom_site_label
_atom_site_fract_x
_atom_site_fract_y
_atom_site_fract_z
Mg1 0.025 0.025 0.930
P1 0.750 0.750 0.750
Cd1 0.250 0.250 0.250
Mg2 0.475 0.475 0.570
```

---

5.
VASP calculation (PBE) on Mg2CdP after structural relaxation.

CIF file:
```
data_Mg2CdP
_chemical_formula_sum 'Mg2 Cd1 P1'
_symmetry_space_group_name_H-M 'P 1'
_symmetry_Int_Tables_number 1
_cell_length_a 3.225
_cell_length_b 3.225
_cell_length_c 8.080
_cell_angle_alpha 90.00
_cell_angle_beta 90.00
_cell_angle_gamma 90.00
loop_
_symmetry_equiv_pos_as_xyz
'x,y,z'
loop_
_atom_site_label
_atom_site_fract_x
_atom_site_fract_y
_atom_site_fract_z
Mg1 0.500 0.500 0.299
P1 0.000 0.000 0.476
Mg2 0.000 0.000 0.999
Cd1 0.500 0.500 0.725
```

---

6.
VASP calculation (PBE) on Mg2CdP2 after structural relaxation.

CIF file:
```
data_Mg2CdP2
_chemical_formula_sum 'Mg4 Cd2 P4'
_symmetry_space_group_name_H-M 'P 1'
_symmetry_Int_Tables_number 1
_cell_length_a 7.845
_cell_length_b 7.845
_cell_length_c 3.030
_cell_angle_alpha 90.00
_cell_angle_beta 90.00
_cell_angle_gamma 90.00
loop_
_symmetry_equiv_pos_as_xyz
'x,y,z'
loop_
_atom_site_label
_atom_site_fract_x
_atom_site_fract_y
_atom_site_fract_z
Mg1 0.859 0.359 0.500
Mg2 0.141 0.641 0.500
Mg3 0.359 0.141 0.500
Cd1 0.000 0.000 0.000
P1 0.657 0.157 0.000
P2 0.843 0.657 0.000
P3 0.343 0.843 0.000
Mg4 0.641 0.859 0.500
P4 0.157 0.343 0.000
Cd2 0.500 0.500 0.000
```

---

One value per record, in order, for DFT formation energy: -0.1147; -0.1943; 0.2252; -0.2523; 0.0516; -0.1913 eV/atom.